# Zr2HPt, relaxed, DFT PBEsol
data_Zr2HPt
_chemical_formula_sum 'Zr2 H1 Pt1'
_cell_length_a 4.514
_cell_length_b 4.514
_cell_length_c 4.514
_cell_angle_alpha 60.00
_cell_angle_beta 60.00
_cell_angle_gamma 60.00
_space_group_name_H-M_alt 'P 1'
_space_group_IT_number 1
loop_
_space_group_symop_operation_xyz
'x,y,z'
loop_
_atom_site_label
_atom_site_fract_x
_atom_site_fract_y
_atom_site_fract_z
Zr1 0.750 0.750 0.750
Zr2 0.250 0.250 0.250
H1 0.000 0.000 0.000
Pt1 0.500 0.500 0.500
# E: -7.43 eV per atom
# Total moment: 0.00 μB/f.u.
# Space group: Fm-3m, No. 225



# ZrHPt3, relaxed, DFT PBEsol
data_ZrHPt3
_chemical_formula_sum 'Zr1 H1 Pt3'
_cell_length_a 4.066
_cell_length_b 4.066
_cell_length_c 4.066
_cell_angle_alpha 90.00
_cell_angle_beta 90.00
_cell_angle_gamma 90.00
_space_group_name_H-M_alt 'P 1'
_space_group_IT_number 1
loop_
_space_group_symop_operation_xyz
'x,y,z'
loop_
_atom_site_label
_atom_site_fract_x
_atom_site_fract_y
_atom_site_fract_z
H1 0.000 0.000 0.000
Zr1 0.500 0.500 0.500
Pt1 0.500 0.000 0.000
Pt2 0.000 0.000 0.500
Pt3 0.000 0.500 0.000
# E: -7.21 eV per atom
# Total moment: 0.00 μB/f.u.
# Space group: Pm-3m, No. 221



# RbRe3H, relaxed, DFT PBEsol
data_RbRe3H
_chemical_formula_sum 'Rb1 Re3 H1'
_cell_length_a 4.162
_cell_length_b 4.162
_cell_length_c 4.162
_cell_angle_alpha 90.00
_cell_angle_beta 90.00
_cell_angle_gamma 90.00
_space_group_name_H-M_alt 'P 1'
_space_group_IT_number 1
loop_
_space_group_symop_operation_xyz
'x,y,z'
loop_
_atom_site_label
_atom_site_fract_x
_atom_site_fract_y
_atom_site_fract_z
Re1 0.500 0.000 0.000
Rb1 0.500 0.500 0.500
Re2 0.000 0.000 0.500
H1 0.000 0.000 0.000
Re3 0.000 0.500 0.000
# E: -6.80 eV per atom
# Total moment: 0.00 μB/f.u.
# Space group: Pm-3m, No. 221



# RbH2RhSe, relaxed, DFT PBEsol
data_RbH2RhSe
_chemical_formula_sum 'Rb1 H2 Rh1 Se1'
_cell_length_a 4.190
_cell_length_b 4.190
_cell_length_c 4.643
_cell_angle_alpha 90.00
_cell_angle_beta 90.00
_cell_angle_gamma 90.00
_space_group_name_H-M_alt 'P 1'
_space_group_IT_number 1
loop_
_space_group_symop_operation_xyz
'x,y,z'
loop_
_atom_site_label
_atom_site_fract_x
_atom_site_fract_y
_atom_site_fract_z
Se1 0.000 0.000 0.000
Rh1 0.000 0.000 0.500
H1 0.500 0.000 0.000
Rb1 0.500 0.500 0.500
H2 0.000 0.500 0.000
# E: -3.47 eV per atom
# Total moment: 0.00 μB/f.u.
# Space group: P4/mmm, No. 123